BaGe2AsAu | Alexandria via LeMat-Bulk | PBE | optimized geometry; space-group type = No. 123; DFT formation energy = 0.20 eV/atom; M_tot = 0.0 μB/f.u.
1.0
5.0009 0.0000 0.0000
0.0000 5.0009 0.0000
0.0000 0.0000 6.3956
Ba Ge As Au
1 2 1 1
Direct
0.0000 0.0000 0.0000 Ba
0.0000 0.5000 0.5000 Ge
0.5000 0.0000 0.5000 Ge
0.0000 0.0000 0.5000 As
0.5000 0.5000 0.0000 Au